Record 1
AcBi3Pb2 after structural relaxation, computed with PBE-GGA.

a = 5.3282 Å, b = 16.2336 Å, c = 4.5979 Å
α = 90.00°, β = 90.00°, γ = 90.00°
Closest atoms and distances in Å follow each position.
Space group Cmmm (No. 65)
Unique sites:
Ac1 0.0000 0.0000 0.0000 [2 per cell]  8 Bi 3.52-3.71, 4 Pb 3.76
Bi1 0.0000 0.1798 0.5000 [4 per cell]  6 Pb 3.43-3.53, 2 Bi 3.51, 2 Ac 3.71
Bi2 0.0000 0.5000 0.5000 [2 per cell]  4 Pb 3.51, 4 Ac 3.52
Pb1 0.0000 0.3369 0.0000 [4 per cell]  8 Bi 3.43-3.53, 2 Ac 3.76

Output
For the formation energy, the calculation gives -0.285 eV per atom. As for the offset from the most stable computed form: 0.0 kJ/mol of atoms. The density of states at the Fermi level is 7.3 states/eV per cell. Its total magnetization is 0.0 μB per cell.

---

Record 2
Rb2NaTlI6 after structural relaxation, computed with PBE-GGA.

a = 12.2994 Å, b = 12.2994 Å, c = 12.2994 Å
α = 90.00°, β = 90.00°, γ = 90.00°
Closest atoms and distances in Å follow each position.
Space group Fm-3m (No. 225)
Unique sites:
Rb1 0.2500 0.2500 0.2500 [8 per cell]  12 I 4.35
Na1 0.0000 0.0000 0.0000 [4 per cell]  6 I 3.13
Tl1 0.0000 0.0000 0.5000 [4 per cell]  6 I 3.02
I1 0.0000 0.0000 0.2546 [24 per cell]  1 Tl 3.02, 1 Na 3.13

Output
As for the offset from the most stable computed form: 3.9 kJ/mol of atoms. The density of states at the Fermi level is 6.3 states/eV per cell. The calculation puts the formation energy (no corrections) at -0.8900 eV per atom. Its total magnetization is 0.0 μB per cell.

---

Record 3
Sm5CuRu4 after structural relaxation, computed with PBE-GGA.

a = 3.4734 Å, b = 3.4734 Å, c = 17.6703 Å
α = 90.00°, β = 90.00°, γ = 90.00°
Closest atoms and distances in Å follow each position.
Space group P4/mmm (No. 123)
Unique sites:
Sm1 0.0000 0.0000 0.0000 [1 per cell]  8 Ru 3.01
Sm2 0.0000 0.0000 0.1954 [2 per cell]  8 Ru 3.00-3.07
Sm3 0.0000 0.0000 0.3919 [2 per cell]  4 Ru 2.95, 4 Cu 3.11
Cu1 0.5000 0.5000 0.5000 [1 per cell]  8 Sm 3.11, 4 Cu 3.47
Ru1 0.5000 0.5000 0.0984 [2 per cell]  8 Sm 3.00-3.01
Ru2 0.5000 0.5000 0.2992 [2 per cell]  8 Sm 2.95-3.07

Output
For the formation energy, the calculation gives -0.200 eV per atom. The density of states at the Fermi level is 4.4 states/eV per cell. Its total magnetization is 0.0 μB per cell.

---

Record 4
NbCo2Pt2 after structural relaxation, computed with PBE-GGA.

a = 6.4116 Å, b = 6.4116 Å, c = 3.4968 Å
α = 90.00°, β = 90.00°, γ = 90.00°
Closest atoms and distances in Å follow each position.
Space group P4/mbm (No. 127)
Unique sites:
Nb1 0.0000 0.0000 0.0000 [2 per cell]  4 Co 2.51
Co1 0.1306 0.3694 0.0000 [4 per cell]  1 Co 2.37, 2 Nb 2.51, 6 Pt 2.56-2.58
Pt1 0.1633 0.6633 0.5000 [4 per cell]  6 Co 2.56-2.58

Output
For the formation energy, the calculation gives -0.146 eV per atom. As for the offset from the most stable computed form: 0.0 kJ/mol of atoms. The density of states at the Fermi level is 8.9 states/eV per cell. Its total magnetization is 3.6 μB per cell.

---

Record 5
ScSbTe2N after structural relaxation, computed with PBE-GGA.

a = 4.7661 Å, b = 4.7661 Å, c = 4.7817 Å
α = 90.00°, β = 90.00°, γ = 90.00°
Closest atoms and distances in Å follow each position.
Space group P4/mmm (No. 123)
Unique sites:
Sc1 0.0000 0.0000 0.0000 [1 per cell]  4 Sb 3.37, 8 Te 3.38
Sb1 0.5000 0.5000 0.0000 [1 per cell]  2 N 2.39
Te1 0.0000 0.5000 0.5000 [2 per cell]  2 N 2.38
N1 0.5000 0.5000 0.5000 [1 per cell]  4 Te 2.38, 2 Sb 2.39

Output
As for the offset from the most stable computed form: 8.5 kJ/mol of atoms. The density of states at the Fermi level is 2.8 states/eV per cell. The calculation puts the formation energy (no corrections) at 0.2000 eV per atom. Its total magnetization is 0.0 μB per cell.

---

Record 6
YCu2As after structural relaxation, computed with PBE-GGA.

a = 3.8558 Å, b = 3.8562 Å, c = 4.9696 Å
α = 90.00°, β = 90.07°, γ = 90.00°
Closest atoms and distances in Å follow each position.
Space group Pm (No. 6)
Unique sites:
Y1 0.0000 0.0000 0.0000 [1 per cell]  4 As 2.85, 8 Cu 3.14-3.15
Cu1 0.0006 0.5000 0.5019 [1 per cell]  2 As 2.55, 4 Cu 2.73
Cu2 0.5000 0.0000 0.5017 [1 per cell]  2 As 2.55, 4 Cu 2.73
As1 0.5002 0.5000 0.1674 [1 per cell]  4 Cu 2.55, 2 Y 2.85

Output
For the formation energy, the calculation gives -0.396 eV per atom. The density of states at the Fermi level is 1.2 states/eV per cell. Its total magnetization is 0.0 μB per cell.